[1]
# PBE-GGA VSnMo, relaxed
data_VSnMo
_chemical_formula_sum 'V2 Sn2 Mo2'
_space_group_name_H-M_alt 'I 4 m m'
_space_group_IT_number 107
_space_group_name_Hall 'I 4 -2'
_cell_length_a 3.3119
_cell_length_b 3.3119
_cell_length_c 9.1373
_cell_angle_alpha 90.00
_cell_angle_beta 90.00
_cell_angle_gamma 90.00
loop_
_atom_site_label
_atom_site_fract_x
_atom_site_fract_y
_atom_site_fract_z
V1 0.0000 0.0000 0.0000
Sn1 0.0000 0.0000 0.3189
Mo1 0.0000 0.0000 0.6346
# Energy relative to the lowest polymorph listed for this composition ... 0.0 meV/atom
# Theoretical density ... 8.8 g/cm3
# Fermi-level density of states ... 0.902 states/eV per atom
# Energy of formation from the pure elements ... 0.008 eV per atom
# Calculated volume ... 100.22 Å³ per cell

[2]
# PBE-GGA SrLiEr2In4, relaxed
data_SrLiEr2In4
_chemical_formula_sum 'Sr3 Li3 Er6 In12'
_space_group_name_H-M_alt 'R -3 m'
_space_group_IT_number 166
_space_group_name_Hall '-R 3 2"'
_cell_length_a 5.2807
_cell_length_b 5.2807
_cell_length_c 26.7712
_cell_angle_alpha 90.00
_cell_angle_beta 90.00
_cell_angle_gamma 120.00
loop_
_atom_site_label
_atom_site_fract_x
_atom_site_fract_y
_atom_site_fract_z
Sr1 0.0000 0.0000 0.0000
Li1 0.0000 0.0000 0.5000
Er1 0.0000 0.0000 0.2453
In1 0.0000 0.0000 0.1280
In2 0.0000 0.0000 0.3842
# Theoretical density ... 6.8 g/cm3
# Fermi-level density of states ... 0.610 states/eV per atom
# Energy of formation from the pure elements ... -0.337 eV per atom
# Calculated volume ... 646.52 Å³ per cell

[3]
# PBE-GGA AgGeHF2, relaxed
data_AgGeHF2
_chemical_formula_sum 'Ag1 Ge1 H1 F2'
_space_group_name_H-M_alt 'P 4/m m m'
_space_group_IT_number 123
_space_group_name_Hall '-P 4 2'
_cell_length_a 3.9838
_cell_length_b 3.9838
_cell_length_c 5.5107
_cell_angle_alpha 90.00
_cell_angle_beta 90.00
_cell_angle_gamma 90.00
loop_
_atom_site_label
_atom_site_fract_x
_atom_site_fract_y
_atom_site_fract_z
Ag1 0.0000 0.0000 0.0000
Ge1 0.0000 0.0000 0.5000
H1 0.5000 0.5000 0.0000
F1 0.0000 0.5000 0.5000
# Theoretical density ... 4.2 g/cm3
# Fermi-level density of states ... 0.236 states/eV per atom
# Energy ... -17.29 eV for the cell shown
# Calculated volume ... 87.46 Å³ per cell

[4]
# PBE-GGA Mg2Mn2As, relaxed
data_Mg2Mn2As
_chemical_formula_sum 'Mg4 Mn4 As2'
_space_group_name_H-M_alt 'I 4/m m m'
_space_group_IT_number 139
_space_group_name_Hall '-I 4 2'
_cell_length_a 3.1686
_cell_length_b 3.1686
_cell_length_c 16.6724
_cell_angle_alpha 90.00
_cell_angle_beta 90.00
_cell_angle_gamma 90.00
loop_
_atom_site_label
_atom_site_fract_x
_atom_site_fract_y
_atom_site_fract_z
Mg1 0.0000 0.0000 0.1108
Mn1 0.0000 0.5000 0.2500
As1 0.0000 0.0000 0.5000
# Energy relative to the lowest polymorph listed for this composition ... 0.0 meV/atom
# Theoretical density ... 4.6 g/cm3
# Fermi-level density of states ... 0.710 states/eV per atom
# Energy of formation from the pure elements ... 0.229 eV per atom
# Calculated volume ... 167.39 Å³ per cell

[5]
# PBE-GGA H2RuBrO, relaxed
data_H2RuBrO
_chemical_formula_sum 'H2 Ru1 Br1 O1'
_space_group_name_H-M_alt 'P 4/m m m'
_space_group_IT_number 123
_space_group_name_Hall '-P 4 2'
_cell_length_a 3.2962
_cell_length_b 3.2962
_cell_length_c 5.4240
_cell_angle_alpha 90.00
_cell_angle_beta 90.00
_cell_angle_gamma 90.00
loop_
_atom_site_label
_atom_site_fract_x
_atom_site_fract_y
_atom_site_fract_z
H1 0.0000 0.5000 0.0000
Ru1 0.0000 0.0000 0.5000
Br1 0.0000 0.0000 0.0000
O1 0.5000 0.5000 0.5000
# Theoretical density ... 5.6 g/cm3
# Fermi-level density of states ... 0.922 states/eV per atom
# Energy ... -18.69 eV for the cell shown
# Calculated volume ... 58.93 Å³ per cell

[6]
# PBE-GGA Ce5TlGe4, relaxed
data_Ce5TlGe4
_chemical_formula_sum 'Ce10 Tl2 Ge8'
_space_group_name_H-M_alt 'P m m n'
_space_group_IT_number 59
_cell_length_a 8.5218
_cell_length_b 9.8871
_cell_length_c 6.7254
_cell_angle_alpha 90.00
_cell_angle_beta 90.00
_cell_angle_gamma 90.00
loop_
_space_group_symop_operation_xyz
'x,y,z'
'-x,-y,-z'
'-x+1/2,-y+1/2,z'
'x+1/2,y+1/2,-z'
'x+1/2,-y,-z'
'-x+1/2,y,z'
'-x,y+1/2,-z'
'x,-y+1/2,z'
loop_
_atom_site_label
_atom_site_fract_x
_atom_site_fract_y
_atom_site_fract_z
Ce1 0.0050 0.0144 0.2047
Ce2 0.2500 0.7500 0.4841
Tl1 0.2500 0.2500 0.9004
Ge1 0.1005 0.7500 0.0340
Ge2 0.2500 0.0549 0.5119
# Theoretical density ... 7.0 g/cm3
# Fermi-level density of states ... 2.439 states/eV per atom
# Energy of formation from the pure elements ... -0.261 eV per atom
# Calculated volume ... 566.65 Å³ per cell